# 1
DFT (PBE) results for a relaxed structure of Fe4HgSb.

The structure in CIF format:
```
data_Fe4HgSb
_symmetry_space_group_name_H-M 'F -4 3 m'
_symmetry_Int_Tables_number 216
_symmetry_space_group_name_Hall 'F -4 2 3'
_cell_length_a 7.1570
_cell_length_b 7.1570
_cell_length_c 7.1570
_cell_angle_alpha 90.00
_cell_angle_beta 90.00
_cell_angle_gamma 90.00
loop_
_atom_site_label
_atom_site_fract_x
_atom_site_fract_y
_atom_site_fract_z
Fe1 0.1247 0.1247 0.1247
Hg1 0.2500 0.2500 0.7500
Sb1 0.0000 0.0000 0.5000
```

Values from the calculation:
- Magnetization: 41.526 Bohr magnetons per cell
- Uncorrected formation energy: 29.1 kJ per mole of atoms
- Calculated volume: 15.275 A^3/atom

# 2
DFT (PBE) results for a relaxed structure of La5CePr2Nd.

The structure in CIF format:
```
data_La5CePr2Nd
_symmetry_space_group_name_H-M 'I 4/m c m'
_symmetry_Int_Tables_number 140
_symmetry_space_group_name_Hall '-I 4 2c'
_cell_length_a 9.0108
_cell_length_b 9.0108
_cell_length_c 15.9997
_cell_angle_alpha 90.00
_cell_angle_beta 90.00
_cell_angle_gamma 90.00
loop_
_atom_site_label
_atom_site_fract_x
_atom_site_fract_y
_atom_site_fract_z
La1 0.0000 0.0000 0.0000
La2 0.2052 0.2948 0.1428
Ce1 0.0000 0.0000 0.2500
Pr1 0.1192 0.3808 0.5000
Nd1 0.0000 0.5000 0.2500
```

Values from the calculation:
- Magnetization: 5.065 Bohr magnetons per cell
- E_tot: -4.73 eV/atom
- Calculated volume: 36.086 A^3/atom

# 3
DFT (PBE) results for a relaxed structure of PmHoTh2As4.

The structure in CIF format:
```
data_PmHoTh2As4
_symmetry_space_group_name_H-M 'P 1 2/m 1'
_symmetry_Int_Tables_number 10
_cell_length_a 7.2692
_cell_length_b 4.2236
_cell_length_c 7.3164
_cell_angle_alpha 90.00
_cell_angle_beta 109.66
_cell_angle_gamma 90.00
loop_
_symmetry_equiv_pos_as_xyz
'x,y,z'
'-x,-y,-z'
'-x,y,-z'
'x,-y,z'
loop_
_atom_site_label
_atom_site_fract_x
_atom_site_fract_y
_atom_site_fract_z
Pm1 0.0000 0.0000 0.0000
Ho1 0.0000 0.5000 0.5000
Th1 0.5000 0.0000 0.5000
Th2 0.5000 0.5000 0.0000
As1 0.2443 0.0000 0.7443
As2 0.2473 0.5000 0.2528
```

Values from the calculation:
- Magnetization: 0.000 Bohr magnetons per cell
- E_tot: -6.81 eV/atom
- Calculated volume: 26.442 A^3/atom